First-principles (GGA-PBE) data for a relaxed structure of Nb2FeBi2Os, as listed in the Open Quantum Materials Database.

Values from the calculation:
- Size of the total moment: 0.00 μB/f.u.
- SG: Pm, No. 6
- E_tot: -7.87 eV/atom

a b c (Å): 7.635 4.394 14.592
angles (deg): 90.00 99.83 90.00
Element x y z (fractional)
Nb  0.000  0.000  0.000
Nb  0.001  0.500  0.499
Nb  0.250  0.500  0.248
Nb  0.253  0.000  0.758
Nb  0.495  0.500  0.001
Nb  0.498  0.000  0.500
Nb  0.746  0.000  0.249
Nb  0.750  0.500  0.759
Fe  0.312  0.000  0.942
Fe  0.312  0.500  0.437
Fe  0.558  0.500  0.186
Fe  0.811  0.500  0.939
Bi  0.127  0.500  0.885
Bi  0.137  0.000  0.378
Bi  0.372  0.500  0.620
Bi  0.384  0.000  0.124
Bi  0.610  0.500  0.370
Bi  0.627  0.000  0.885
Bi  0.859  0.500  0.121
Bi  0.875  0.000  0.627
Os  0.061  0.000  0.187
Os  0.065  0.500  0.693
Os  0.562  0.000  0.693
Os  0.811  0.000  0.435